[1]
A plane-wave DFT calculation with PBE was carried out for a relaxed Al5In crystal.

Summary:
Electronic total energy: -3.497 eV per atom
Fermi-level density of states: 2.36 states/eV per cell
Relative energy among the computed polymorphs: 0 meV per atom
ΔH_f (0 K): 79 meV/atom

Geometry as CIF:
```
data_Al5In
_chemical_formula_sum 'Al5 In1'
_cell_length_a 2.987
_cell_length_b 2.987
_cell_length_c 12.317
_cell_angle_alpha 90.00
_cell_angle_beta 90.00
_cell_angle_gamma 90.00
_space_group_name_H-M_alt 'P 1'
_space_group_IT_number 1
loop_
_space_group_symop_operation_xyz
'x,y,z'
loop_
_atom_site_label
_atom_site_type_symbol
_atom_site_fract_x
_atom_site_fract_y
_atom_site_fract_z
Al1 Al 0.000 0.000 0.000
Al2 Al 0.000 0.000 0.308
Al3 Al 0.000 0.000 0.692
Al4 Al 0.500 0.500 0.153
Al5 Al 0.500 0.500 0.847
In1 In 0.500 0.500 0.500
```


[2]
A plane-wave DFT calculation with PBE was carried out for a relaxed Al5In crystal.

Summary:
Electronic total energy: -3.480 eV per atom
Fermi-level density of states: 2.39 states/eV per cell
Relative energy among the computed polymorphs: 17 meV per atom
ΔH_f (0 K): 96 meV/atom

Geometry as CIF:
```
data_Al5In
_chemical_formula_sum 'Al5 In1'
_cell_length_a 4.921
_cell_length_b 4.921
_cell_length_c 8.446
_cell_angle_alpha 112.35
_cell_angle_beta 112.35
_cell_angle_gamma 35.95
_space_group_name_H-M_alt 'P 1'
_space_group_IT_number 1
loop_
_space_group_symop_operation_xyz
'x,y,z'
loop_
_atom_site_label
_atom_site_type_symbol
_atom_site_fract_x
_atom_site_fract_y
_atom_site_fract_z
Al1 Al 0.000 0.000 0.000
Al2 Al 0.329 0.329 0.151
Al3 Al 0.339 0.339 0.692
Al4 Al 0.661 0.661 0.308
Al5 Al 0.671 0.671 0.849
In1 In 0.000 0.000 0.500
```


[3]
A plane-wave DFT calculation with PBE was carried out for a relaxed Al3In crystal.

Summary:
Electronic total energy: -3.354 eV per atom
Fermi-level density of states: 1.31 states/eV per cell
ΔH_f (0 K): 137 meV/atom

Geometry as CIF:
```
data_Al3In
_chemical_formula_sum 'Al3 In1'
_cell_length_a 5.075
_cell_length_b 5.075
_cell_length_c 5.297
_cell_angle_alpha 100.57
_cell_angle_beta 100.57
_cell_angle_gamma 35.27
_space_group_name_H-M_alt 'P 1'
_space_group_IT_number 1
loop_
_space_group_symop_operation_xyz
'x,y,z'
loop_
_atom_site_label
_atom_site_type_symbol
_atom_site_fract_x
_atom_site_fract_y
_atom_site_fract_z
Al1 Al 0.000 0.000 0.000
Al2 Al 0.258 0.258 0.776
Al3 Al 0.742 0.742 0.224
In1 In 0.500 0.500 0.500
```


[4]
A plane-wave DFT calculation with PBE was carried out for a relaxed AlIn2 crystal.

Summary:
Electronic total energy: -2.981 eV per atom
Fermi-level density of states: 2.45 states/eV per cell
ΔH_f (0 K): 92 meV/atom

Geometry as CIF:
```
data_AlIn2
_chemical_formula_sum 'Al2 In4'
_cell_length_a 5.796
_cell_length_b 5.796
_cell_length_c 5.796
_cell_angle_alpha 103.60
_cell_angle_beta 103.60
_cell_angle_gamma 121.98
_space_group_name_H-M_alt 'P 1'
_space_group_IT_number 1
loop_
_space_group_symop_operation_xyz
'x,y,z'
loop_
_atom_site_label
_atom_site_type_symbol
_atom_site_fract_x
_atom_site_fract_y
_atom_site_fract_z
Al1 Al 0.250 0.250 0.000
Al2 Al 0.750 0.750 0.000
In1 In 0.155 0.655 0.810
In2 In 0.345 0.155 0.500
In3 In 0.655 0.845 0.500
In4 In 0.845 0.345 0.190
```


Copy entry 1 word for word.
A plane-wave DFT calculation with PBE was carried out for a relaxed Al5In crystal.

Summary:
Electronic total energy: -3.497 eV per atom
Fermi-level density of states: 2.36 states/eV per cell
Relative energy among the computed polymorphs: 0 meV per atom
ΔH_f (0 K): 79 meV/atom

Geometry as CIF:
```
data_Al5In
_chemical_formula_sum 'Al5 In1'
_cell_length_a 2.987
_cell_length_b 2.987
_cell_length_c 12.317
_cell_angle_alpha 90.00
_cell_angle_beta 90.00
_cell_angle_gamma 90.00
_space_group_name_H-M_alt 'P 1'
_space_group_IT_number 1
loop_
_space_group_symop_operation_xyz
'x,y,z'
loop_
_atom_site_label
_atom_site_type_symbol
_atom_site_fract_x
_atom_site_fract_y
_atom_site_fract_z
Al1 Al 0.000 0.000 0.000
Al2 Al 0.000 0.000 0.308
Al3 Al 0.000 0.000 0.692
Al4 Al 0.500 0.500 0.153
Al5 Al 0.500 0.500 0.847
In1 In 0.500 0.500 0.500
```


- Which of these has the highest ΔH_f (0 K)?
  Al3In


- Which of these has the highest electronic total energy?
  AlIn2


- Among the records above, which one has the lowest Fermi-level density of states?
  Al3In